First-principles (PBE-GGA) data for a relaxed structure of Li5ZrS5, as listed in Alexandria.

Cell: 5.095 6.547 7.230 Å, 107.23 90.00 112.90°
Fractional coordinates of all 11 atoms:
Li (0.000, 0.000, 0.500)
Li (0.692, 0.384, 0.323)
Li (0.690, 0.380, 0.866)
Li (0.308, 0.616, 0.677)
Li (0.310, 0.620, 0.134)
S (0.836, 0.672, 0.670)
S (0.849, 0.698, 0.180)
S (0.164, 0.328, 0.330)
S (0.151, 0.302, 0.820)
S (0.500, 0.000, 0.000)
Zr (0.000, 0.000, 0.000)

Calculated values
density of states at the Fermi level: 0.78 states/eV/atom
uncorrected energy: -52.2 eV per formula unit

***

First-principles (PBE-GGA) data for a relaxed structure of Li3Zr4S8, as listed in Alexandria.

Cell: 7.301 7.317 7.317 Å, 90.63 119.41 119.41°
Fractional coordinates of all 15 atoms:
Li (0.500, 0.000, 0.500)
Li (0.500, 0.500, 0.000)
Li (0.500, 0.500, 0.500)
S (0.996, 0.742, 0.742)
S (0.511, 0.758, 0.758)
S (0.004, 0.258, 0.258)
S (0.489, 0.242, 0.242)
S (0.000, 0.748, 0.252)
S (0.000, 0.252, 0.748)
S (0.500, 0.747, 0.253)
S (0.500, 0.253, 0.747)
Zr (0.500, 0.000, 0.000)
Zr (0.000, 0.000, 0.500)
Zr (0.000, 0.500, 0.000)
Zr (0.000, 0.000, 0.000)

Calculated values
density of states at the Fermi level: 0.34 states/eV/atom
uncorrected energy: -95.8 eV per formula unit

***

First-principles (PBE-GGA) data for a relaxed structure of LiZr2S4, as listed in Alexandria.

Cell: 3.646 6.305 12.774 Å, 90.00 90.00 106.81°
Fractional coordinates of all 14 atoms:
S (0.953, 0.907, 0.750)
S (0.500, 0.000, 0.500)
S (0.047, 0.093, 0.250)
S (0.777, 0.554, 0.382)
S (0.223, 0.446, 0.882)
S (0.777, 0.554, 0.118)
S (0.500, 0.000, 0.000)
S (0.223, 0.446, 0.618)
Zr (0.868, 0.736, 0.931)
Zr (0.868, 0.736, 0.569)
Zr (0.132, 0.264, 0.431)
Zr (0.132, 0.264, 0.069)
Li (0.398, 0.795, 0.250)
Li (0.602, 0.205, 0.750)

Calculated values
density of states at the Fermi level: 0.24 states/eV/atom
E above lowest polymorph: 63.0 meV/atom

***

First-principles (PBE-GGA) data for a relaxed structure of Li2Sb, as listed in Alexandria.

Cell: 7.935 7.935 6.602 Å, 90.00 90.00 120.00°
Fractional coordinates of all 18 atoms:
Sb (0.667, 0.333, 0.525)
Sb (0.333, 0.667, 0.475)
Sb (0.667, 0.333, 0.975)
Sb (0.000, 0.000, 0.250)
Sb (0.333, 0.667, 0.025)
Sb (0.000, 0.000, 0.750)
Li (0.362, 0.372, 0.750)
Li (0.010, 0.638, 0.750)
Li (0.000, 0.289, 0.000)
Li (0.638, 0.010, 0.250)
Li (0.289, 0.000, 0.500)
Li (0.990, 0.628, 0.250)
Li (0.628, 0.990, 0.750)
Li (0.372, 0.362, 0.250)
Li (0.000, 0.289, 0.500)
Li (0.711, 0.711, 0.500)
Li (0.711, 0.711, 0.000)
Li (0.289, 0.000, 0.000)

Calculated values
density of states at the Fermi level: 0.22 states/eV/atom
E above lowest polymorph: 0.0 meV/atom

***

First-principles (PBE-GGA) data for a relaxed structure of Li3Sb2, as listed in Alexandria.

Cell: 4.570 4.570 6.375 Å, 69.00 69.00 60.00°
Fractional coordinates of all 5 atoms:
Li (0.000, 0.000, 0.000)
Li (0.185, 0.185, 0.444)
Li (0.815, 0.815, 0.556)
Sb (0.583, 0.583, 0.250)
Sb (0.417, 0.417, 0.750)

Calculated values
density of states at the Fermi level: 0.39 states/eV/atom
E above lowest polymorph: 0.0 meV/atom

***

First-principles (PBE-GGA) data for a relaxed structure of Li2Sb, as listed in Alexandria.

Cell: 5.537 5.537 8.904 Å, 90.00 90.00 120.00°
Fractional coordinates of all 12 atoms:
Li (0.175, 0.351, 0.750)
Li (0.825, 0.175, 0.250)
Li (0.000, 0.000, 0.500)
Li (0.825, 0.649, 0.250)
Li (0.649, 0.825, 0.750)
Li (0.000, 0.000, 0.000)
Li (0.175, 0.825, 0.750)
Li (0.351, 0.175, 0.250)
Sb (0.667, 0.333, 0.958)
Sb (0.333, 0.667, 0.458)
Sb (0.667, 0.333, 0.542)
Sb (0.333, 0.667, 0.042)

Calculated values
density of states at the Fermi level: 0.41 states/eV/atom
E above lowest polymorph: 332.0 meV/atom

***

First-principles (PBE-GGA) data for a relaxed structure of Li4Sb3, as listed in Alexandria.

Cell: 7.235 7.234 7.234 Å, 109.48 109.48 109.48°
Fractional coordinates of all 14 atoms:
Li (0.000, 0.000, 0.336)
Li (0.500, 0.836, 0.500)
Li (0.664, 0.164, 0.164)
Li (0.000, 0.000, 0.836)
Li (0.500, 0.336, 0.500)
Li (0.164, 0.664, 0.664)
Li (0.836, 0.500, 0.000)
Li (0.336, 0.500, 0.000)
Sb (0.125, 0.375, 0.250)
Sb (0.625, 0.750, 0.875)
Sb (0.750, 0.625, 0.375)
Sb (0.250, 0.875, 0.125)
Sb (0.375, 0.125, 0.750)
Sb (0.875, 0.250, 0.625)

Calculated values
density of states at the Fermi level: 0.45 states/eV/atom
uncorrected energy: -22.0 eV per formula unit

***

First-principles (PBE-GGA) data for a relaxed structure of LiSb, as listed in Alexandria.

Cell: 5.832 6.521 3.182 Å, 75.88 74.17 49.37°
Fractional coordinates of all 4 atoms:
Sb (0.471, 0.544, 0.492)
Sb (0.446, 0.039, 0.258)
Li (0.940, 0.547, 0.756)
Li (0.977, 0.036, 0.994)

Calculated values
density of states at the Fermi level: 0.35 states/eV/atom
E above lowest polymorph: 21.3 meV/atom

***

First-principles (PBE-GGA) data for a relaxed structure of Li2Sb, as listed in Alexandria.

Cell: 4.925 4.925 7.877 Å, 90.00 90.00 38.67°
Fractional coordinates of all 6 atoms:
Li (0.550, 0.550, 0.222)
Li (0.728, 0.728, 0.722)
Li (0.993, 0.993, 0.902)
Li (0.285, 0.285, 0.402)
Sb (0.008, 0.008, 0.542)
Sb (0.270, 0.270, 0.042)

Calculated values
density of states at the Fermi level: 0.61 states/eV/atom
E above lowest polymorph: 34.5 meV/atom

***

First-principles (PBE-GGA) data for a relaxed structure of LiSb, as listed in Alexandria.

Cell: 5.814 5.814 5.733 Å, 90.00 90.00 90.00°
Fractional coordinates of all 8 atoms:
Sb (0.671, 0.671, 0.000)
Sb (0.829, 0.171, 0.500)
Sb (0.171, 0.829, 0.500)
Sb (0.329, 0.329, 0.000)
Li (0.309, 0.309, 0.500)
Li (0.191, 0.809, 0.000)
Li (0.691, 0.691, 0.500)
Li (0.809, 0.191, 0.000)

Calculated values
density of states at the Fermi level: 0.82 states/eV/atom
E above lowest polymorph: 289.1 meV/atom

***

First-principles (PBE-GGA) data for a relaxed structure of Li2Sb, as listed in Alexandria.

Cell: 3.281 3.281 7.162 Å, 90.00 90.00 120.00°
Fractional coordinates of all 3 atoms:
Li (0.333, 0.667, 0.318)
Li (0.667, 0.333, 0.682)
Sb (0.000, 0.000, 0.000)

Calculated values
density of states at the Fermi level: 0.32 states/eV/atom
E above lowest polymorph: 323.5 meV/atom

***

First-principles (PBE-GGA) data for a relaxed structure of LiSb, as listed in Alexandria.

Cell: 6.379 5.759 10.268 Å, 90.00 90.00 90.00°
Fractional coordinates of all 16 atoms:
Sb (0.408, 0.653, 0.587)
Sb (0.724, 0.562, 0.205)
Sb (0.224, 0.938, 0.795)
Sb (0.276, 0.062, 0.295)
Sb (0.776, 0.438, 0.705)
Sb (0.092, 0.347, 0.087)
Sb (0.592, 0.153, 0.913)
Sb (0.908, 0.847, 0.413)
Li (0.240, 0.442, 0.823)
Li (0.852, 0.735, 0.939)
Li (0.760, 0.942, 0.677)
Li (0.648, 0.265, 0.439)
Li (0.148, 0.235, 0.561)
Li (0.352, 0.765, 0.061)
Li (0.260, 0.558, 0.323)
Li (0.740, 0.058, 0.177)

Calculated values
E above lowest polymorph: 43.7 meV/atom

***

First-principles (PBE-GGA) data for a relaxed structure of LiSb, as listed in Alexandria.

Cell: 9.856 9.856 4.326 Å, 90.00 90.00 90.00°
Fractional coordinates of all 16 atoms:
Li (0.685, 0.119, 0.500)
Li (0.881, 0.685, 0.500)
Li (0.777, 0.940, 0.000)
Li (0.940, 0.223, 0.000)
Li (0.315, 0.881, 0.500)
Li (0.060, 0.777, 0.000)
Li (0.119, 0.315, 0.500)
Li (0.223, 0.060, 0.000)
Sb (0.160, 0.610, 0.500)
Sb (0.610, 0.840, 0.500)
Sb (0.390, 0.160, 0.500)
Sb (0.651, 0.298, 0.000)
Sb (0.298, 0.349, 0.000)
Sb (0.702, 0.651, 0.000)
Sb (0.840, 0.390, 0.500)
Sb (0.349, 0.702, 0.000)

Calculated values
density of states at the Fermi level: 0.33 states/eV/atom
E above lowest polymorph: 251.7 meV/atom

***

First-principles (PBE-GGA) data for a relaxed structure of LiSb, as listed in Alexandria.

Cell: 10.403 10.403 4.118 Å, 90.00 90.00 120.00°
Fractional coordinates of all 12 atoms:
Sb (0.479, 0.603, 0.250)
Sb (0.397, 0.876, 0.250)
Sb (0.876, 0.479, 0.750)
Sb (0.124, 0.521, 0.250)
Sb (0.603, 0.124, 0.750)
Sb (0.521, 0.397, 0.750)
Li (0.739, 0.565, 0.250)
Li (0.173, 0.739, 0.750)
Li (0.565, 0.827, 0.750)
Li (0.435, 0.173, 0.250)
Li (0.261, 0.435, 0.750)
Li (0.827, 0.261, 0.250)

Calculated values
density of states at the Fermi level: 0.21 states/eV/atom
E above lowest polymorph: 222.1 meV/atom

***

First-principles (PBE-GGA) data for a relaxed structure of LiSb, as listed in Alexandria.

Cell: 5.604 3.301 4.839 Å, 89.98 90.00 90.00°
Fractional coordinates of all 4 atoms:
Li (0.500, 0.877, 0.719)
Li (0.000, 0.873, 0.031)
Sb (0.500, 0.376, 0.225)
Sb (0.000, 0.374, 0.525)

Calculated values
density of states at the Fermi level: 0.23 states/eV/atom
E above lowest polymorph: 53.4 meV/atom

***

First-principles (PBE-GGA) data for a relaxed structure of LiSb, as listed in Alexandria.

Cell: 5.234 5.234 8.298 Å, 90.00 90.00 120.00°
Fractional coordinates of all 8 atoms:
Sb (0.000, 0.000, 0.750)
Sb (0.667, 0.333, 0.250)
Sb (0.000, 0.000, 0.250)
Sb (0.333, 0.667, 0.750)
Li (0.333, 0.667, 0.083)
Li (0.667, 0.333, 0.917)
Li (0.667, 0.333, 0.583)
Li (0.333, 0.667, 0.417)

Calculated values
density of states at the Fermi level: 0.71 states/eV/atom
E above lowest polymorph: 248.8 meV/atom

***

First-principles (PBE-GGA) data for a relaxed structure of LiSb, as listed in Alexandria.

Cell: 5.135 5.135 5.135 Å, 60.00 60.00 60.00°
Fractional coordinates of all 4 atoms:
Li (0.000, 0.000, 0.000)
Li (0.250, 0.250, 0.250)
Sb (0.750, 0.750, 0.750)
Sb (0.500, 0.500, 0.500)

Calculated values
density of states at the Fermi level: 0.61 states/eV/atom
E above lowest polymorph: 251.9 meV/atom

***

First-principles (PBE-GGA) data for a relaxed structure of LiSb, as listed in Alexandria.

Cell: 4.273 14.769 4.121 Å, 90.00 90.00 90.00°
Fractional coordinates of all 12 atoms:
Sb (0.500, 0.162, 0.000)
Sb (0.500, 0.000, 0.500)
Sb (0.000, 0.338, 0.000)
Sb (0.000, 0.662, 0.000)
Sb (0.500, 0.838, 0.000)
Sb (0.000, 0.500, 0.500)
Li (0.000, 0.165, 0.500)
Li (0.000, 0.000, 0.000)
Li (0.500, 0.335, 0.500)
Li (0.500, 0.500, 0.000)
Li (0.500, 0.665, 0.500)
Li (0.000, 0.835, 0.500)

Calculated values
density of states at the Fermi level: 0.31 states/eV/atom
E above lowest polymorph: 58.9 meV/atom

***

First-principles (PBE-GGA) data for a relaxed structure of Li4Sb, as listed in Alexandria.

Cell: 5.202 5.202 5.202 Å, 90.00 90.00 90.00°
Fractional coordinates of all 5 atoms:
Li (0.000, 0.000, 0.000)
Li (0.000, 0.500, 0.500)
Li (0.500, 0.500, 0.000)
Li (0.500, 0.000, 0.500)
Sb (0.500, 0.500, 0.500)

Calculated values
density of states at the Fermi level: 0.43 states/eV/atom
E above lowest polymorph: 258.8 meV/atom

***

First-principles (PBE-GGA) data for a relaxed structure of LiSb, as listed in Alexandria.

Cell: 4.348 4.348 4.348 Å, 60.00 60.00 60.00°
Fractional coordinates of all 2 atoms:
Sb (0.750, 0.750, 0.750)
Li (0.000, 0.000, 0.000)

Calculated values
density of states at the Fermi level: 0.99 states/eV/atom
E above lowest polymorph: 776.4 meV/atom

***

First-principles (PBE-GGA) data for a relaxed structure of LiSb, as listed in Alexandria.

Cell: 3.255 3.255 8.539 Å, 90.00 90.00 90.00°
Fractional coordinates of all 4 atoms:
Li (0.750, 0.750, 0.913)
Li (0.250, 0.250, 0.087)
Sb (0.250, 0.250, 0.714)
Sb (0.750, 0.750, 0.286)

Calculated values
density of states at the Fermi level: 0.20 states/eV/atom
E above lowest polymorph: 186.8 meV/atom

***

First-principles (PBE-GGA) data for a relaxed structure of Li2Sb, as listed in Alexandria.

Cell: 7.947 7.947 4.746 Å, 90.00 90.00 157.07°
Fractional coordinates of all 6 atoms:
Li (0.445, 0.555, 0.500)
Li (0.668, 0.332, 0.000)
Li (0.776, 0.224, 0.500)
Li (0.999, 0.001, 0.000)
Sb (0.343, 0.657, 0.000)
Sb (0.101, 0.899, 0.500)

Calculated values
density of states at the Fermi level: 0.02 states/eV/atom
E above lowest polymorph: 10.2 meV/atom

***

First-principles (PBE-GGA) data for a relaxed structure of Li2Sb, as listed in Alexandria.

Cell: 9.821 9.821 9.821 Å, 161.47 154.42 31.78°
Fractional coordinates of all 6 atoms:
Li (0.215, 0.465, 0.750)
Li (0.785, 0.535, 0.250)
Li (0.925, 0.675, 0.250)
Li (0.075, 0.325, 0.750)
Sb (0.358, 0.108, 0.250)
Sb (0.642, 0.892, 0.750)

Calculated values
density of states at the Fermi level: 0.26 states/eV/atom
E above lowest polymorph: 195.8 meV/atom

***

Number 1: spin magnetization 0.00 μB/cell. Number 2: spin magnetization 0.00 μB/cell. Number 3: spin magnetization 0.00 μB/cell. Number 4: spin magnetization 0.00 μB/cell. Number 5: spin magnetization 0.00 μB/cell. Number 6: spin magnetization 0.00 μB/cell. Number 7: spin magnetization 0.00 μB/cell. Number 8: spin magnetization 0.00 μB/cell. Number 9: spin magnetization 0.00 μB/cell. Number 10: spin magnetization 0.00 μB/cell. Number 11: spin magnetization 0.00 μB/cell. Number 12: spin magnetization 0.00 μB/cell. Number 13: spin magnetization 0.16 μB/cell. Number 14: spin magnetization 0.00 μB/cell. Number 15: spin magnetization 0.00 μB/cell. Number 16: spin magnetization 0.00 μB/cell. Number 17: spin magnetization 0.00 μB/cell. Number 18: spin magnetization 0.00 μB/cell. Number 19: spin magnetization 0.00 μB/cell. Number 20: spin magnetization 0.00 μB/cell. Number 21: spin magnetization 0.00 μB/cell. Number 22: spin magnetization 0.00 μB/cell. Number 23: spin magnetization 0.20 μB/cell.